## i
Density functional theory data (PBE-GGA) for Ag2BiO4 after structural relaxation.

Fermi-level density of states (states/eV per atom): 0.619
Spin magnetization (μB per formula unit): 1.1
V (A^3/atom): 15.7

a = 6.8453 Å, b = 6.8453 Å, c = 9.3596 Å
α = 90.00°, β = 90.00°, γ = 90.00°
Atoms (fractional coordinates):
Ag  0.0000  0.2504  0.0000
Ag  0.0000  0.7496  0.5000
Ag  0.2383  0.2383  0.3750
Ag  0.2383  0.7617  0.1250
Ag  0.2504  0.0000  0.7500
Ag  0.7496  0.0000  0.2500
Ag  0.7617  0.2383  0.6250
Ag  0.7617  0.7617  0.8750
Bi  0.2465  0.5000  0.7500
Bi  0.5000  0.2465  0.0000
Bi  0.5000  0.7535  0.5000
Bi  0.7535  0.5000  0.2500
O  0.0334  0.2673  0.7589
O  0.0334  0.7327  0.7411
O  0.2673  0.0334  0.9911
O  0.2673  0.9666  0.5089
O  0.2721  0.4803  0.9846
O  0.2721  0.5197  0.5154
O  0.4803  0.2721  0.7654
O  0.4803  0.7279  0.7346
O  0.5197  0.2721  0.2346
O  0.5197  0.7279  0.2654
O  0.7279  0.4803  0.0154
O  0.7279  0.5197  0.4846
O  0.7327  0.0334  0.0089
O  0.7327  0.9666  0.4911
O  0.9666  0.2673  0.2411
O  0.9666  0.7327  0.2589


## ii
Density functional theory data (PBE-GGA) for Ag2BiO4 after structural relaxation.

Fermi-level density of states (states/eV per atom): 0.875
Spin magnetization (μB per formula unit): 0.0
V (A^3/atom): 13.7

a = 5.7130 Å, b = 9.5558 Å, c = 3.5163 Å
α = 90.00°, β = 90.00°, γ = 90.00°
Atoms (fractional coordinates):
Ag  0.0000  0.1910  0.0000
Ag  0.0000  0.8090  0.0000
Ag  0.5000  0.3090  0.0000
Ag  0.5000  0.6910  0.0000
Bi  0.0000  0.5000  0.5000
Bi  0.5000  0.0000  0.5000
O  0.2393  0.5000  0.0000
O  0.2500  0.2500  0.5000
O  0.2500  0.7500  0.5000
O  0.2607  0.0000  0.0000
O  0.7393  0.0000  0.0000
O  0.7500  0.2500  0.5000
O  0.7500  0.7500  0.5000
O  0.7607  0.5000  0.0000


Result of the stability comparison: ii is the least stable of them.


## i
Density functional theory data (PBE-GGA) for AgBiP2O after structural relaxation.

Fermi-level density of states (states/eV per atom): 0.874
Spin magnetization (μB per formula unit): 0.0
V (A^3/atom): 19.5

a = 4.9392 Å, b = 4.9392 Å, c = 4.0032 Å
α = 90.00°, β = 90.00°, γ = 90.00°
Atoms (fractional coordinates):
Ag  0.0000  0.0000  0.0000
Bi  0.5000  0.5000  0.5000
P  0.0000  0.5000  0.0000
P  0.5000  0.0000  0.0000
O  0.0000  0.0000  0.5000


## ii
Density functional theory data (PBE-GGA) for AgBiP2O after structural relaxation.

Fermi-level density of states (states/eV per atom): 0.876
Spin magnetization (μB per formula unit): 0.0
V (A^3/atom): 23.6

a = 5.3491 Å, b = 5.3491 Å, c = 4.1215 Å
α = 90.00°, β = 90.00°, γ = 90.00°
Atoms (fractional coordinates):
Ag  0.0000  0.0000  0.0000
Bi  0.5000  0.5000  0.5000
P  0.0000  0.5000  0.5000
P  0.5000  0.0000  0.5000
O  0.5000  0.5000  0.0000


Result of the stability comparison: ii is the least stable of them.